# 1
Here is an optimized crystal structure of Rb2Cd2S3O12 from the Alexandria database. Energies are from GGA-PBEsol.

Calculated values
N(E_F)	0.0	states/eV/cell
ρ	4.03	g cm⁻³
E_form (uncorrected)	-1.60	eV/atom
SG	P2_13, No. 198
VASP energy	-5.837	eV per atom

abc: 10.4040 10.4040 10.4040
angles: 90.00 90.00 90.00
Sites, in units of the cell vectors:
O 0.8982 0.8359 0.4999
O 0.1798 0.7401 0.4980
O 0.8202 0.2401 0.0020
O 0.6798 0.7599 0.5020
O 0.0252 0.9318 0.7791
Rb 0.0619 0.0619 0.0619
O 0.2531 0.4237 0.8432
S 0.4769 0.2630 0.6257
O 0.1568 0.7531 0.0763
S 0.7630 0.8743 0.5231
Rb 0.3017 0.3017 0.3017
S 0.0231 0.7370 0.1257
S 0.9769 0.2370 0.3743
S 0.1257 0.0231 0.7370
O 0.3359 0.0001 0.1018
S 0.8743 0.5231 0.7630
O 0.9748 0.4318 0.7209
O 0.0763 0.1568 0.7531
O 0.7791 0.0252 0.9318
O 0.7469 0.9237 0.6568
O 0.4999 0.8982 0.8359
Cd 0.3346 0.6654 0.1654
O 0.2209 0.5252 0.5682
O 0.6641 0.5001 0.3982
O 0.3982 0.6641 0.5001
Rb 0.1983 0.6983 0.8017
O 0.5020 0.6798 0.7599
Cd 0.4189 0.0811 0.9189
O 0.6018 0.1641 0.9999
O 0.4237 0.8432 0.2531
O 0.9980 0.3202 0.2599
O 0.4980 0.1798 0.7401
Rb 0.5619 0.4381 0.9381
O 0.6568 0.7469 0.9237
Cd 0.5811 0.5811 0.5811
Rb 0.8017 0.1983 0.6983
O 0.5001 0.3982 0.6641
O 0.8432 0.2531 0.4237
O 0.7401 0.4980 0.1798
S 0.6257 0.4769 0.2630
O 0.5763 0.3432 0.2469
S 0.5231 0.7630 0.8743
O 0.5682 0.2209 0.5252
O 0.5252 0.5682 0.2209
O 0.1018 0.3359 0.0001
Rb 0.6983 0.8017 0.1983
Cd 0.8346 0.8346 0.8346
Cd 0.9189 0.4189 0.0811
S 0.2370 0.3743 0.9769
O 0.8359 0.4999 0.8982
O 0.9237 0.6568 0.7469
O 0.2469 0.5763 0.3432
Rb 0.4381 0.9381 0.5619
S 0.3743 0.9769 0.2370
O 0.0020 0.8202 0.2401
Cd 0.0811 0.9189 0.4189
O 0.1641 0.9999 0.6018
O 0.0682 0.2791 0.4748
Rb 0.9381 0.5619 0.4381
S 0.2630 0.6257 0.4769
S 0.7370 0.1257 0.0231
O 0.3432 0.2469 0.5763
O 0.7209 0.9748 0.4318
O 0.9999 0.6018 0.1641
O 0.4318 0.7209 0.9748
O 0.2401 0.0020 0.8202
O 0.7599 0.5020 0.6798
O 0.7531 0.0763 0.1568
O 0.4748 0.0682 0.2791
O 0.0001 0.1018 0.3359
O 0.2599 0.9980 0.3202
Cd 0.6654 0.1654 0.3346
O 0.9318 0.7791 0.0252
O 0.3202 0.2599 0.9980
O 0.2791 0.4748 0.0682
Cd 0.1654 0.3346 0.6654

# 2
Here is an optimized crystal structure of Rb2CdSiO4 from the Alexandria database. Energies are from GGA-PBEsol.

Calculated values
N(E_F)	0.0	states/eV/cell
ρ	4.78	g cm⁻³
E_form (uncorrected)	-2.00	eV/atom
SG	C222_1, No. 20
VASP energy	-5.748	eV per atom

abc: 7.9065 7.9065 16.6995
angles: 90.00 90.00 92.57
Sites, in units of the cell vectors:
O 0.8014 0.4635 0.5089
O 0.9343 0.5851 0.9173
O 0.4635 0.8014 0.4911
Cd 0.2211 0.7241 0.9058
Rb 0.7531 0.7383 0.3915
Rb 0.9586 0.9586 0.0000
O 0.9072 0.6288 0.0788
Rb 0.4429 0.4429 0.5000
Si 0.0106 0.4843 0.5075
O 0.8940 0.0674 0.1689
O 0.0454 0.2007 0.7557
O 0.1986 0.5365 0.0089
O 0.6128 0.4174 0.3309
Si 0.9948 0.0052 0.2500
O 0.3712 0.0928 0.4212
Si 0.4836 0.5164 0.7500
Si 0.9894 0.5157 0.0075
Rb 0.2418 0.7388 0.3596
O 0.2007 0.0454 0.2443
O 0.6870 0.0654 0.4833
Rb 0.5571 0.5571 0.0000
Rb 0.0541 0.5496 0.7334
O 0.9326 0.1060 0.3311
Rb 0.9459 0.4504 0.2334
O 0.3090 0.4486 0.2592
O 0.9346 0.3130 0.0167
Rb 0.4504 0.9459 0.7666
Si 0.0052 0.9948 0.7500
Cd 0.7794 0.7533 0.8425
Rb 0.2617 0.2469 0.1085
O 0.5851 0.9343 0.0827
Si 0.5157 0.9894 0.9925
Si 0.4843 0.0106 0.4925
Cd 0.2759 0.7789 0.5942
Rb 0.7582 0.2612 0.8596
O 0.5826 0.3872 0.1691
Rb 0.5496 0.0541 0.2666
Rb 0.2612 0.7582 0.1404
O 0.0657 0.4149 0.4173
O 0.5514 0.6910 0.2408
O 0.6288 0.9072 0.9212
O 0.4149 0.0657 0.5827
O 0.0674 0.8940 0.8311
O 0.3130 0.9346 0.9833
O 0.4174 0.6128 0.6691
Rb 0.7383 0.7531 0.6085
O 0.0654 0.6870 0.5167
Cd 0.7241 0.2211 0.0942
O 0.4486 0.3090 0.7408
Cd 0.7533 0.7794 0.1575
O 0.9546 0.7993 0.2557
Rb 0.7388 0.2418 0.6404
O 0.3872 0.5826 0.8309
Si 0.5164 0.4836 0.2500
O 0.0928 0.3712 0.5788
O 0.7993 0.9546 0.7443
Rb 0.2469 0.2617 0.8915
Rb 0.0414 0.0414 0.5000
O 0.6910 0.5514 0.7592
Cd 0.2467 0.2206 0.6575
O 0.5365 0.1986 0.9911
Cd 0.2206 0.2467 0.3425
O 0.1060 0.9326 0.6689
Cd 0.7789 0.2759 0.4058

# 3
Here is an optimized crystal structure of RbV3Cd3O11 from the Alexandria database. Energies are from GGA-PBEsol.

Calculated values
N(E_F)	0.0	states/eV/cell
ρ	4.89	g cm⁻³
E_form (uncorrected)	-1.96	eV/atom
SG	P2_1/c, No. 14
VASP energy	-7.026	eV per atom

abc: 8.3947 9.7607 12.5929
angles: 90.00 98.57 90.00
Sites, in units of the cell vectors:
O 0.2155 0.2425 0.8985
O 0.9482 0.4980 0.8732
O 0.5860 0.2325 0.5899
O 0.3247 0.0014 0.0090
V 0.3204 0.6749 0.7856
O 0.6753 0.5014 0.4910
Cd 0.9191 0.6257 0.2383
V 0.2347 0.0678 0.6491
V 0.6796 0.1749 0.7144
O 0.8703 0.2709 0.2346
O 0.7824 0.7577 0.3513
O 0.4219 0.7606 0.1892
O 0.4219 0.7394 0.6892
O 0.6765 0.9853 0.2165
O 0.2176 0.2423 0.6487
O 0.7824 0.7423 0.8513
V 0.7653 0.5678 0.8509
Cd 0.4340 0.3940 0.6540
O 0.5781 0.2606 0.3108
Cd 0.5660 0.8940 0.8460
Rb 0.1108 0.7474 0.5105
O 0.4140 0.7675 0.4101
O 0.0371 0.4995 0.3773
O 0.2155 0.2575 0.3985
O 0.3235 0.0147 0.7835
Rb 0.1108 0.7526 0.0105
Cd 0.9191 0.8743 0.7383
O 0.3448 0.0101 0.5546
O 0.0518 0.9980 0.6268
V 0.2228 0.4340 0.3957
Cd 0.4528 0.3541 0.9319
V 0.7772 0.5660 0.6043
V 0.7653 0.9322 0.3509
O 0.9629 0.9995 0.1227
Cd 0.5472 0.6459 0.0681
V 0.2347 0.4322 0.1491
O 0.0371 0.0005 0.8773
O 0.5781 0.2394 0.8108
O 0.9629 0.5005 0.6227
O 0.5860 0.2675 0.0899
O 0.9482 0.0020 0.3732
O 0.6552 0.9899 0.4454
O 0.1297 0.7709 0.2654
V 0.7772 0.9340 0.1043
O 0.6780 0.9917 0.7149
O 0.8703 0.2291 0.7346
O 0.1297 0.7291 0.7654
O 0.0518 0.5020 0.1268
Rb 0.8892 0.2474 0.9895
O 0.4140 0.7325 0.9101
O 0.3247 0.4986 0.5090
O 0.3220 0.4917 0.7851
V 0.2228 0.0660 0.8957
Cd 0.4340 0.1060 0.1540
Cd 0.4528 0.1459 0.4319
O 0.6753 0.9986 0.9910
O 0.7845 0.7575 0.1015
O 0.3220 0.0083 0.2851
O 0.3235 0.4853 0.2835
Cd 0.5660 0.6060 0.3460
O 0.3448 0.4899 0.0546
O 0.2176 0.2577 0.1487
O 0.6552 0.5101 0.9454
Cd 0.0809 0.3743 0.7617
V 0.3204 0.8251 0.2856
O 0.6780 0.5083 0.2149
V 0.6796 0.3251 0.2144
Rb 0.8892 0.2526 0.4895
Cd 0.0809 0.1257 0.2617
O 0.7845 0.7425 0.6015
Cd 0.5472 0.8541 0.5681
O 0.6765 0.5147 0.7165

Question: E_form (uncorrected) of number 1 (Rb2Cd2S3O12)?
Answer: -1.60 eV/atom

Question: ρ of number 1 (Rb2Cd2S3O12)?
Answer: 4.03 g cm⁻³